Entry 1:
Computed, not measured: a crystal of CsNiHg3 relaxed with PBEsol at the SCAN level of DFT.

D(E_F) = 1.74 states/eV per cell
formation energy = -0.176 eV/atom
symmetry = Pm-3m, No. 221

Cell lengths 5.1349, 5.1349, 5.1349 Å; angles 90.00, 90.00, 90.00 degrees
With the nearest neighbours (Å) after each atom.
Positions (direct):
Cs 0.0000 0.0000 0.0000  12 Hg 3.63
Ni 0.5000 0.5000 0.5000  6 Hg 2.57
Hg 0.0000 0.5000 0.5000  2 Ni 2.57
Hg 0.5000 0.0000 0.5000  2 Ni 2.57
Hg 0.5000 0.5000 0.0000  2 Ni 2.57

Entry 2:
Computed, not measured: a crystal of Al3TlPb relaxed with PBEsol at the SCAN level of DFT.

D(E_F) = 2.91 states/eV per cell
formation energy = 0.807 eV/atom
symmetry = Pm-3m, No. 221

Cell lengths 5.1922, 5.1922, 5.1922 Å; angles 90.00, 90.00, 90.00 degrees
With the nearest neighbours (Å) after each atom.
Positions (direct):
Al 0.0000 0.0000 0.5000  2 Tl 2.60
Al 0.0000 0.5000 0.0000  2 Tl 2.60
Al 0.5000 0.0000 0.0000  2 Tl 2.60
Tl 0.0000 0.0000 0.0000  6 Al 2.60
Pb 0.5000 0.5000 0.5000  12 Al 3.67

Entry 3:
Computed, not measured: a crystal of LaHf2ZrBe relaxed with PBEsol at the SCAN level of DFT.

D(E_F) = 7.26 states/eV per cell
formation energy = 0.611 eV/atom
symmetry = P4/mmm, No. 123

Cell lengths 4.7556, 4.7556, 5.1311 Å; angles 90.00, 90.00, 90.00 degrees
With the nearest neighbours (Å) after each atom.
Positions (direct):
La 0.0000 0.0000 0.0000  2 Be 2.57
Hf 0.0000 0.5000 0.5000  2 Be 2.38
Hf 0.5000 0.0000 0.5000  2 Be 2.38
Zr 0.5000 0.5000 0.0000  4 La 3.36, 8 Hf 3.50
Be 0.0000 0.0000 0.5000  4 Hf 2.38, 2 La 2.57